# 1
The following is a PBE calculation of a geometry-optimized TbDyCdAu structure, from Alexandria.

```
TbDyCdAu
1.0
0.0000 3.6729 3.6729
3.6729 0.0000 3.6729
3.6729 3.6729 0.0000
Tb Dy Cd Au
1 1 1 1
direct
0.0000 0.0000 0.0000 Tb
0.5000 0.5000 0.5000 Dy
0.7500 0.7500 0.7500 Cd
0.2500 0.2500 0.2500 Au
```

Energy of formation from the pure elements = -215.3 kJ/mol of formula units
Calculated density = 10.570 Mg/m³
E above lowest polymorph = 0.12 eV per formula unit
Fermi-level density of states = 3.53 states/eV per cell
Space-group type = F-43m (216)


# 2
The following is a PBE calculation of a geometry-optimized Dy4Tl2CdAu structure, from Alexandria.

```
Dy4Tl2CdAu
1.0
2.6435 1.5262 8.5980
-2.6435 1.5262 8.5980
0.0000 -3.0524 8.5980
Dy Tl Cd Au
4 2 1 1
direct
0.1192 0.1192 0.1192 Dy
0.3702 0.3702 0.3702 Dy
0.6298 0.6298 0.6298 Dy
0.8808 0.8808 0.8808 Dy
0.2448 0.2448 0.2448 Tl
0.7552 0.7552 0.7552 Tl
0.5000 0.5000 0.5000 Cd
0.0000 0.0000 0.0000 Au
```

Energy of formation from the pure elements = -355.3 kJ/mol of formula units
Calculated density = 10.916 Mg/m³
Fermi-level density of states = 6.64 states/eV per cell
Space-group type = R-3m (166)


# 3
The following is a PBE calculation of a geometry-optimized DyTm2CdAu4 structure, from Alexandria.

```
DyTm2CdAu4
1.0
2.4879 1.4364 8.1978
-2.4879 1.4364 8.1978
0.0000 -2.8728 8.1978
Dy Tm Cd Au
1 2 1 4
direct
0.0000 0.0000 0.0000 Dy
0.2434 0.2434 0.2434 Tm
0.7566 0.7566 0.7566 Tm
0.5000 0.5000 0.5000 Cd
0.1208 0.1208 0.1208 Au
0.3682 0.3682 0.3682 Au
0.6318 0.6318 0.6318 Au
0.8792 0.8792 0.8792 Au
```

Energy of formation from the pure elements = -601.8 kJ/mol of formula units
Calculated density = 13.231 Mg/m³
Fermi-level density of states = 4.33 states/eV per cell
Space-group type = R-3m (166)


# 4
The following is a PBE calculation of a geometry-optimized DyYCdAu structure, from Alexandria.

```
DyYCdAu
1.0
0.0000 3.6696 3.6696
3.6696 0.0000 3.6696
3.6696 3.6696 0.0000
Dy Y Cd Au
1 1 1 1
direct
0.0000 0.0000 0.0000 Dy
0.5000 0.5000 0.5000 Y
0.7500 0.7500 0.7500 Cd
0.2500 0.2500 0.2500 Au
```

Energy of formation from the pure elements = -219.2 kJ/mol of formula units
Calculated density = 9.422 Mg/m³
E above lowest polymorph = 0.12 eV per formula unit
Fermi-level density of states = 4.09 states/eV per cell
Space-group type = F-43m (216)


# 5
The following is a PBE calculation of a geometry-optimized DyYCdAu structure, from Alexandria.

```
DyYCdAu
1.0
3.6832 0.0000 0.0000
0.0000 3.6832 0.0000
0.0000 0.0000 7.2939
Dy Y Cd Au
1 1 1 1
direct
0.0000 0.0000 0.0000 Dy
0.0000 0.0000 0.4745 Y
0.5000 0.5000 0.7381 Cd
0.5000 0.5000 0.2320 Au
```

Energy of formation from the pure elements = -230.8 kJ/mol of formula units
Calculated density = 9.411 Mg/m³
E above lowest polymorph = 0.00 eV per formula unit
Fermi-level density of states = 3.15 states/eV per cell
Space-group type = P4mm (99)


# 6
The following is a PBE calculation of a geometry-optimized DyZn2CdAu2 structure, from Alexandria.

```
DyZn2CdAu2
1.0
4.5726 0.0000 0.0000
-2.2863 3.9600 0.0000
0.0000 0.0000 6.5291
Dy Zn Cd Au
1 2 1 2
direct
0.0000 0.0000 0.0000 Dy
0.3333 0.6667 0.7208 Zn
0.6667 0.3333 0.2792 Zn
0.0000 0.0000 0.5000 Cd
0.3333 0.6667 0.2535 Au
0.6667 0.3333 0.7465 Au
```

Energy of formation from the pure elements = -271.2 kJ/mol of formula units
Calculated density = 11.232 Mg/m³
Fermi-level density of states = 2.70 states/eV per cell
Space-group type = P-3m1 (164)